{
  "formula": "SrGa3Pb",
  "functional": "PBEsol",
  "state": "optimized geometry",
  "lattice_angstrom": [[5.4149, 0.0000, 0.0000], [0.0000, 5.4149, 0.0000], [0.0000, 0.0000, 5.4149]],
  "species": ["Sr", "Ga", "Ga", "Ga", "Pb"],
  "frac_coords": [[0.0000, 0.0000, 0.0000], [0.0000, 0.5000, 0.5000], [0.5000, 0.0000, 0.5000], [0.5000, 0.5000, 0.0000], [0.5000, 0.5000, 0.5000]],
  "delta_e_f_ev_per_atom": 0.300,
  "magnetic_moment_mub_per_fu": 0.000,
  "dos_ef_per_ev_cell": 2.857
}